No. 1
DFT (PBE) results for SrLaAgSn after structural relaxation.

```
4
Lattice="-1.986 -4.907 -1.729 0.995 -4.608 2.965 -4.142 -2.466 2.788" Properties=species:S:1:pos:R:3 pbc="T T T"
Sr -2.566 -5.991 2.012
Sn -1.283 -2.995 1.006
Ag -3.850 -8.986 3.018
La 0.000 0.000 0.000
```

Results
The calculated formation energy comes out at -533 meV per atom. The total energy is -15.6 eV per cell. The total magnetization comes out at 0.0 μB per formula unit. As for the mass density: 6161 kg/m³.

***

No. 2
DFT (PBE) results for LiNiRh2 after structural relaxation.

```
4
Lattice="2.660 0.000 0.000 0.000 2.660 0.000 0.000 0.000 7.480" Properties=species:S:1:pos:R:3 pbc="T T T"
Ni 1.330 1.330 5.610
Rh 0.000 0.000 7.362
Rh 0.000 0.000 3.858
Li 1.330 1.330 1.870
```

Results
The calculated formation energy comes out at 24 meV per atom. The total energy is -22.3 eV per cell. The total magnetization comes out at 0.0 μB per formula unit. As for the mass density: 8516 kg/m³.